1.
Computed, not measured: a relaxed structure of PmThSiTe at the PBE level of DFT.

Calculated values
The density of states at the Fermi level comes out at 3.14 states/eV per cell. For the uncorrected formation energy, the calculation gives -1.018 eV per atom.

Cell and atoms, written as extended XYZ:
```
4
Lattice="4.2881 -0.0007 -0.0001 -2.1437 3.7148 0.0001 -2.1430 -1.2374 7.5261" Properties=species:S:1:pos:R:3 pbc="T T T"
Th -1.7388 3.4431 0.5913
Te 2.5491 0.9669 2.7464
Si -1.7380 0.9669 6.5620
Pm 0.4058 -0.2716 4.9243
```

---

2.
Computed, not measured: a relaxed structure of Pm5ThSi6 at the PBE level of DFT.

Calculated values
The density of states at the Fermi level comes out at 10.41 states/eV per cell. For the uncorrected formation energy, the calculation gives -0.477 eV per atom.

Cell and atoms, written as extended XYZ:
```
12
Lattice="7.2777 0.2159 0.0000 2.2529 7.0263 0.0000 1.1265 3.5132 6.3470" Properties=species:S:1:pos:R:3 pbc="T T T"
Si 2.3719 1.8028 0.0000
Si 6.0217 1.9130 2.1061
Si 3.5089 5.3292 2.1061
Si 7.1481 5.4261 4.2410
Si 4.6354 8.8424 4.2410
Si 7.1587 5.4394 0.0000
Pm 4.7653 3.6211 0.0000
Pm 1.1265 3.5132 2.1166
Pm 5.8918 7.1343 2.1211
Pm 4.7653 3.6211 4.2260
Pm 2.2529 7.0263 4.2305
Th 0.0000 0.0000 0.0000
```

---

3.
Computed, not measured: a relaxed structure of Pm2ThSi6 at the PBE level of DFT.

Calculated values
The density of states at the Fermi level comes out at 3.66 states/eV per cell. For the uncorrected formation energy, the calculation gives -0.301 eV per atom.

Cell and atoms, written as extended XYZ:
```
9
Lattice="-3.3838 1.2681 -1.3454 -3.8060 -6.4320 -2.0157 -5.1906 -2.5064 5.1667" Properties=species:S:1:pos:R:3 pbc="T T T"
Si -5.8913 -4.6826 -0.6478
Si -5.5107 -0.8331 2.0232
Si -7.6289 -4.6849 3.7201
Si -6.8698 -6.8371 -0.2176
Si -4.7516 -2.9853 -1.9145
Si -6.4891 -2.9876 2.4534
Pm -8.6186 -4.5402 0.8201
Pm -3.7619 -3.1300 0.9856
Th 0.0000 0.0000 0.0000
```

---

4.
Computed, not measured: a relaxed structure of PmThSi at the PBE level of DFT.

Calculated values
The density of states at the Fermi level comes out at 1.71 states/eV per cell. For the uncorrected formation energy, the calculation gives -0.328 eV per atom.

Cell and atoms, written as extended XYZ:
```
3
Lattice="4.9672 0.0000 0.0000 2.4836 4.3017 0.0000 2.4836 1.4339 4.0557" Properties=species:S:1:pos:R:3 pbc="T T T"
Th 4.9672 2.8678 2.0278
Si 2.4836 1.4339 1.0139
Pm 0.0000 0.0000 0.0000
```

---

5.
Computed, not measured: a relaxed structure of Pm2ThSi at the PBE level of DFT.

Calculated values
The density of states at the Fermi level comes out at 5.17 states/eV per cell. For the uncorrected formation energy, the calculation gives -0.103 eV per atom.

Cell and atoms, written as extended XYZ:
```
4
Lattice="3.7593 0.0000 0.0000 1.8797 3.2557 0.0000 1.8797 1.0852 9.7994" Properties=species:S:1:pos:R:3 pbc="T T T"
Pm 1.8797 1.0852 1.9621
Pm 5.6390 3.2557 7.8374
Th 3.7593 2.1704 4.8997
Si 0.0000 0.0000 0.0000
```

---

6.
Computed, not measured: a relaxed structure of PmThSi at the PBE level of DFT.

Calculated values
The density of states at the Fermi level comes out at 5.28 states/eV per cell. For the uncorrected formation energy, the calculation gives -0.261 eV per atom.

Cell and atoms, written as extended XYZ:
```
6
Lattice="3.5160 -0.0030 -0.0046 -0.0066 5.2324 -0.0717 -1.7637 -0.9715 8.7090" Properties=species:S:1:pos:R:3 pbc="T T T"
Pm 2.3108 2.6215 3.3682
Pm -1.2241 4.4288 6.0357
Th -1.2173 1.7235 8.3737
Th 2.3095 0.0944 1.1017
Si 0.5470 1.7098 5.7191
Si 0.5461 0.1082 3.7565
```

---

7.
Computed, not measured: a relaxed structure of Pm3ThSi2 at the PBE level of DFT.

Calculated values
The density of states at the Fermi level comes out at 12.13 states/eV per cell. For the uncorrected formation energy, the calculation gives -0.124 eV per atom.

Cell and atoms, written as extended XYZ:
```
12
Lattice="8.1315 0.4633 0.3373 4.0188 7.0841 0.3373 4.0188 2.4964 6.6383" Properties=species:S:1:pos:R:3 pbc="T T T"
Th 8.0845 5.0219 3.6565
Th 0.0000 0.0000 0.0000
Pm 8.1080 3.7903 0.5580
Pm 8.0611 6.2535 6.7550
Pm 6.9909 2.2472 5.1474
Pm 11.0566 3.5265 3.8771
Pm 9.1782 7.7966 2.1656
Pm 5.1125 6.5173 3.4358
Si 2.3232 1.4431 1.0507
Si 5.7614 3.5788 2.6058
Si 13.8459 8.6007 6.2622
Si 10.4077 6.4650 4.7072
```

---

8.
Computed, not measured: a relaxed structure of Pm2ThSi at the PBE level of DFT.

Calculated values
The density of states at the Fermi level comes out at 3.48 states/eV per cell. For the uncorrected formation energy, the calculation gives -0.216 eV per atom.

Cell and atoms, written as extended XYZ:
```
4
Lattice="4.7754 0.0000 0.0000 0.0000 4.7509 0.0000 0.0000 0.0000 4.7509" Properties=species:S:1:pos:R:3 pbc="T T T"
Si 2.3877 0.0000 0.0000
Th 2.3877 2.3755 2.3755
Pm 0.0000 0.0000 2.3755
Pm 0.0000 2.3755 0.0000
```

---

9.
Computed, not measured: a relaxed structure of PmThSi4 at the PBE level of DFT.

Calculated values
The density of states at the Fermi level comes out at 3.34 states/eV per cell. For the uncorrected formation energy, the calculation gives -0.594 eV per atom.

Cell and atoms, written as extended XYZ:
```
6
Lattice="-2.5689 -1.4505 -2.7439 2.8213 -0.9920 -5.0749 0.3723 -5.8753 -0.2005" Properties=species:S:1:pos:R:3 pbc="T T T"
Si 0.0646 -7.0396 -5.2127
Si 0.5601 -1.2782 -2.8065
Si -0.2449 -2.8834 -1.2043
Si 0.8696 -5.4345 -6.8149
Th 0.0000 0.0000 0.0000
Pm 0.3124 -4.1589 -4.0096
```

---

10.
Computed, not measured: a relaxed structure of PmThSi2 at the PBE level of DFT.

Calculated values
The density of states at the Fermi level comes out at 3.77 states/eV per cell. For the uncorrected formation energy, the calculation gives -0.438 eV per atom.

Cell and atoms, written as extended XYZ:
```
4
Lattice="3.3924 0.0000 0.0000 0.0000 3.3924 0.0000 0.0000 0.0000 8.1331" Properties=species:S:1:pos:R:3 pbc="T T T"
Si 0.0000 0.0000 2.0280
Si 0.0000 0.0000 6.1050
Th 1.6962 1.6962 4.0665
Pm 1.6962 1.6962 0.0000
```

---

11.
Computed, not measured: a relaxed structure of PmThSi4 at the PBE level of DFT.

Calculated values
The density of states at the Fermi level comes out at 4.02 states/eV per cell. For the uncorrected formation energy, the calculation gives -0.290 eV per atom.

Cell and atoms, written as extended XYZ:
```
6
Lattice="-3.5893 1.7054 -3.7158 -5.1575 0.9613 1.4404 -1.8709 5.1059 0.1678" Properties=species:S:1:pos:R:3 pbc="T T T"
Th 0.0000 0.0000 0.0000
Si -4.8485 4.0034 0.5165
Si -4.0763 4.3698 -2.0225
Si -6.6160 4.8431 -1.3133
Si -5.6947 2.3289 -1.3959
Pm -2.6544 1.9431 -0.5269
```

---

12.
Computed, not measured: a relaxed structure of PmThSi2 at the PBE level of DFT.

Calculated values
The density of states at the Fermi level comes out at 2.53 states/eV per cell. For the uncorrected formation energy, the calculation gives -0.546 eV per atom.

Cell and atoms, written as extended XYZ:
```
4
Lattice="4.2425 0.0000 0.0000 2.1212 3.6741 0.0000 2.1212 1.2247 6.9334" Properties=species:S:1:pos:R:3 pbc="T T T"
Si 2.1212 1.2247 1.7365
Si 6.3637 3.6741 5.1969
Pm 0.0000 0.0000 0.0000
Th 4.2425 2.4494 3.4667
```